## Gd2DySe (GGA-PBE)

Data for a relaxed Gd2DySe crystal.

abc: 3.807 3.807 9.834
angles: 78.84 78.84 60.00
Last column: magnetic moment on the atom in μB.
Atoms (fractional coordinates):
Se 0.000 0.000 0.000  -0.03
Gd 0.267 0.267 0.198  7.11
Gd 0.733 0.733 0.802  7.11
Dy 0.500 0.500 0.500  0.32

Output
ΔE_f (raw) ... -0.801 eV/atom
D(E_F) ... 5.4 states/eV per cell
ρ ... 7.7 g/cm3
SG ... R-3m (166)